Entry 1:
A plane-wave DFT calculation with PBE was carried out for crystalline Hf2InB2 at its relaxed geometry.

a b c (Å): 7.278 7.278 3.368
angles (deg): 90.00 90.00 155.20
Element x y z (fractional)
Hf: 0.154 0.846 0.000
Hf: 0.846 0.154 0.000
In: 0.500 0.500 0.500
B: 0.275 0.725 0.500
B: 0.725 0.275 0.500

## Properties
Its space group is Cmmm (65). Its crystal system is orthorhombic. As for the calculated total energy: -7.81 eV per atom. Its spin magnetization is 0.00 μB per formula unit.


Entry 2:
A plane-wave DFT calculation with PBE was carried out for crystalline HfIn2B at its relaxed geometry.

a b c (Å): 4.784 4.784 4.784
angles (deg): 60.00 60.00 60.00
Element x y z (fractional)
Hf: 0.000 0.000 0.000
In: 0.250 0.250 0.250
In: 0.500 0.500 0.500
B: 0.750 0.750 0.750

## Properties
Its space group is F-43m (216). Its crystal system is cubic. As for the calculated total energy: -4.65 eV per atom. Its spin magnetization is 0.00 μB per formula unit.


Entry 3:
A plane-wave DFT calculation with PBE was carried out for crystalline Hf2InB at its relaxed geometry.

a b c (Å): 3.412 3.412 15.194
angles (deg): 90.00 90.00 120.00
Element x y z (fractional)
Hf: 0.333 0.667 0.084
Hf: 0.333 0.667 0.416
Hf: 0.667 0.333 0.584
Hf: 0.667 0.333 0.916
In: 0.333 0.667 0.750
In: 0.667 0.333 0.250
B: 0.000 0.000 0.000
B: 0.000 0.000 0.500

## Properties
Its space group is P6_3/mmc (194). Its crystal system is hexagonal. As for the calculated total energy: -7.77 eV per atom. Its spin magnetization is 0.00 μB per formula unit.


Entry 4:
A plane-wave DFT calculation with PBE was carried out for crystalline Hf4In2BN at its relaxed geometry.

a b c (Å): 3.353 3.353 14.804
angles (deg): 90.00 90.00 120.00
Element x y z (fractional)
Hf: 0.333 0.667 0.080
Hf: 0.333 0.667 0.414
Hf: 0.667 0.333 0.586
Hf: 0.667 0.333 0.920
In: 0.333 0.667 0.755
In: 0.667 0.333 0.245
B: 0.000 0.000 0.500
N: 0.000 0.000 0.000

## Properties
Its space group is P-3m1 (164). Its crystal system is trigonal. As for the calculated total energy: -8.27 eV per atom. Its spin magnetization is 0.00 μB per formula unit.


Entry 5:
A plane-wave DFT calculation with PBE was carried out for crystalline Hf4InSnB2 at its relaxed geometry.

a b c (Å): 3.427 3.427 14.944
angles (deg): 90.00 90.00 120.00
Element x y z (fractional)
Hf: 0.000 0.000 0.163
Hf: 0.000 0.000 0.837
Hf: 0.333 0.667 0.332
Hf: 0.333 0.667 0.668
In: 0.000 0.000 0.500
Sn: 0.333 0.667 0.000
B: 0.667 0.333 0.247
B: 0.667 0.333 0.753

## Properties
Its space group is P-6m2 (187). Its crystal system is hexagonal. As for the calculated total energy: -8.00 eV per atom. Its spin magnetization is 0.00 μB per formula unit.


Entry 6:
A plane-wave DFT calculation with PBE was carried out for crystalline Hf4TlInB2 at its relaxed geometry.

a b c (Å): 3.420 3.420 15.196
angles (deg): 90.00 90.00 120.00
Element x y z (fractional)
Hf: 0.000 0.000 0.166
Hf: 0.000 0.000 0.834
Hf: 0.667 0.333 0.333
Hf: 0.667 0.333 0.667
Tl: 0.000 0.000 0.500
In: 0.667 0.333 0.000
B: 0.333 0.667 0.250
B: 0.333 0.667 0.750

## Properties
Its space group is P-6m2 (187). Its crystal system is hexagonal. As for the calculated total energy: -7.69 eV per atom. Its spin magnetization is 0.00 μB per formula unit.


Entry 7:
A plane-wave DFT calculation with PBE was carried out for crystalline HfB4Ir at its relaxed geometry.

a b c (Å): 4.687 4.687 4.687
angles (deg): 141.44 112.50 80.52
Element x y z (fractional)
Hf: 0.000 0.000 0.000
B: 0.063 0.739 0.323
B: 0.416 0.739 0.677
B: 0.584 0.261 0.323
B: 0.937 0.261 0.677
Ir: 0.500 0.500 0.000

## Properties
Its space group is Immm (71). Its crystal system is orthorhombic. As for the calculated total energy: -7.87 eV per atom. Its spin magnetization is 0.00 μB per formula unit.


Entry 8:
A plane-wave DFT calculation with PBE was carried out for crystalline Hf2B6Ir at its relaxed geometry.

a b c (Å): 9.022 11.237 3.438
angles (deg): 90.00 90.00 90.00
Element x y z (fractional)
Hf: 0.054 0.128 0.000
Hf: 0.181 0.410 0.000
Hf: 0.319 0.910 0.000
Hf: 0.446 0.628 0.000
Hf: 0.554 0.372 0.000
Hf: 0.681 0.090 0.000
Hf: 0.819 0.590 0.000
Hf: 0.946 0.872 0.000
B: 0.023 0.289 0.500
B: 0.051 0.562 0.500
B: 0.104 0.971 0.500
B: 0.133 0.819 0.500
B: 0.201 0.240 0.500
B: 0.247 0.076 0.500
B: 0.253 0.576 0.500
B: 0.299 0.740 0.500
B: 0.367 0.319 0.500
B: 0.396 0.471 0.500
B: 0.449 0.062 0.500
B: 0.477 0.789 0.500
B: 0.523 0.211 0.500
B: 0.551 0.938 0.500
B: 0.604 0.529 0.500
B: 0.633 0.681 0.500
B: 0.701 0.260 0.500
B: 0.747 0.424 0.500
B: 0.753 0.924 0.500
B: 0.799 0.760 0.500
B: 0.867 0.181 0.500
B: 0.896 0.029 0.500
B: 0.949 0.438 0.500
B: 0.977 0.711 0.500
Ir: 0.141 0.675 0.000
Ir: 0.359 0.175 0.000
Ir: 0.641 0.825 0.000
Ir: 0.859 0.325 0.000

## Properties
Its space group is Pbam (55). Its crystal system is orthorhombic. As for the calculated total energy: -8.30 eV per atom. Its spin magnetization is 0.00 μB per formula unit.


Entry 9:
A plane-wave DFT calculation with PBE was carried out for crystalline HfB4Ir at its relaxed geometry.

a b c (Å): 5.906 11.420 3.434
angles (deg): 90.00 90.00 90.00
Element x y z (fractional)
Hf: 0.126 0.144 0.000
Hf: 0.374 0.644 0.000
Hf: 0.626 0.356 0.000
Hf: 0.874 0.856 0.000
B: 0.035 0.693 0.500
B: 0.119 0.547 0.500
B: 0.129 0.968 0.500
B: 0.194 0.814 0.500
B: 0.306 0.314 0.500
B: 0.371 0.468 0.500
B: 0.381 0.047 0.500
B: 0.465 0.193 0.500
B: 0.535 0.807 0.500
B: 0.619 0.953 0.500
B: 0.629 0.532 0.500
B: 0.694 0.686 0.500
B: 0.806 0.186 0.500
B: 0.871 0.032 0.500
B: 0.881 0.453 0.500
B: 0.965 0.307 0.500
Ir: 0.137 0.398 0.000
Ir: 0.363 0.898 0.000
Ir: 0.637 0.102 0.000
Ir: 0.863 0.602 0.000

## Properties
Its space group is Pbam (55). Its crystal system is orthorhombic. As for the calculated total energy: -8.06 eV per atom. Its spin magnetization is 0.00 μB per formula unit.


Entry 10:
A plane-wave DFT calculation with PBE was carried out for crystalline HfBIr at its relaxed geometry.

a b c (Å): 4.144 4.144 4.144
angles (deg): 60.00 60.00 60.00
Element x y z (fractional)
Hf: 0.000 0.000 0.000
B: 0.500 0.500 0.500
Ir: 0.750 0.750 0.750

## Properties
Its space group is F-43m (216). Its crystal system is cubic. As for the calculated total energy: -8.35 eV per atom. Its spin magnetization is 0.01 μB per formula unit.


Entry 11:
A plane-wave DFT calculation with PBE was carried out for crystalline Hf3B2Ir5 at its relaxed geometry.

a b c (Å): 9.278 9.278 3.391
angles (deg): 90.00 90.00 90.00
Element x y z (fractional)
Hf: 0.000 0.000 0.000
Hf: 0.176 0.324 0.000
Hf: 0.324 0.824 0.000
Hf: 0.500 0.500 0.000
Hf: 0.676 0.176 0.000
Hf: 0.824 0.676 0.000
B: 0.119 0.619 0.000
B: 0.381 0.119 0.000
B: 0.619 0.881 0.000
B: 0.881 0.381 0.000
Ir: 0.000 0.500 0.500
Ir: 0.073 0.780 0.500
Ir: 0.220 0.073 0.500
Ir: 0.280 0.573 0.500
Ir: 0.427 0.280 0.500
Ir: 0.500 0.000 0.500
Ir: 0.573 0.720 0.500
Ir: 0.720 0.427 0.500
Ir: 0.780 0.927 0.500
Ir: 0.927 0.220 0.500

## Properties
Its space group is P4/mbm (127). Its crystal system is tetragonal. As for the calculated total energy: -9.58 eV per atom. Its spin magnetization is 0.00 μB per formula unit.


Entry 12:
A plane-wave DFT calculation with PBE was carried out for crystalline HfBIr at its relaxed geometry.

a b c (Å): 4.193 4.193 4.193
angles (deg): 60.00 60.00 60.00
Element x y z (fractional)
Hf: 0.000 0.000 0.000
B: 0.750 0.750 0.750
Ir: 0.250 0.250 0.250

## Properties
Its space group is F-43m (216). Its crystal system is cubic. As for the calculated total energy: -7.96 eV per atom. Its spin magnetization is 0.00 μB per formula unit.


- spin magnetization of number 10 (HfBIr)?
  0.01 μB per formula unit


- calculated total energy of number 4 (Hf4In2BN)?
  -8.27 eV per atom


- calculated total energy of number 12 (HfBIr)?
  -7.96 eV per atom